The following is a PBE calculation of a geometry-optimized SrTaAl2 structure, from the Alexandria database.

Lattice parameters (Å, degrees): 4.9358 4.9358 4.9358 60.00 60.00 60.00
Positions (direct):
Sr1 0.0000 0.0000 0.0000
Ta1 0.2500 0.2500 0.2500
Al1 0.5000 0.5000 0.5000
Al2 0.7500 0.7500 0.7500

Output
- crystal system = cubic
- uncorrected energy (eV per formula unit) = -18.10
- symmetry = F-43m, No. 216
- density of states at the Fermi level (states/eV/cell) = 4.82
- relative energy among the computed polymorphs (eV per formula unit) = 2.93